# SrCu2AuO4 | Alexandria via LeMat-Bulk | PBE | relaxed
data_SrCu2AuO4
_space_group_name_H-M_alt 'P 1'
_space_group_IT_number 1
_cell_length_a 5.425
_cell_length_b 5.277
_cell_length_c 5.277
_cell_angle_alpha 86.72
_cell_angle_beta 59.07
_cell_angle_gamma 59.07
loop_
_space_group_symop_operation_xyz
'x,y,z'
loop_
_atom_site_label
_atom_site_type_symbol
_atom_site_fract_x
_atom_site_fract_y
_atom_site_fract_z
O1 O 0.427 0.067 0.506
O2 O 0.573 0.494 0.933
O3 O 0.000 0.506 0.067
O4 O 0.000 0.933 0.494
Cu1 Cu 0.500 0.250 0.750
Cu2 Cu 0.500 0.750 0.250
Au1 Au 0.000 0.500 0.500
Sr1 Sr 0.000 0.000 0.000
# space group	I-42m
# formation energy from raw total energies	-0.84	eV/atom


# Tm2BiH | Alexandria via LeMat-Bulk | PBE | relaxed
data_Tm2BiH
_space_group_name_H-M_alt 'P 1'
_space_group_IT_number 1
_cell_length_a 7.545
_cell_length_b 6.280
_cell_length_c 7.586
_cell_angle_alpha 90.00
_cell_angle_beta 80.69
_cell_angle_gamma 90.00
loop_
_space_group_symop_operation_xyz
'x,y,z'
loop_
_atom_site_label
_atom_site_type_symbol
_atom_site_fract_x
_atom_site_fract_y
_atom_site_fract_z
Bi1 Bi 0.163 0.371 0.157
Bi2 Bi 0.837 0.629 0.843
Bi3 Bi 0.663 0.129 0.157
Bi4 Bi 0.337 0.871 0.843
H1 H 0.736 0.168 0.688
H2 H 0.264 0.832 0.312
H3 H 0.764 0.668 0.312
H4 H 0.236 0.332 0.688
Tm1 Tm 0.818 0.373 0.455
Tm2 Tm 0.015 0.848 0.185
Tm3 Tm 0.182 0.627 0.545
Tm4 Tm 0.985 0.152 0.815
Tm5 Tm 0.515 0.652 0.185
Tm6 Tm 0.318 0.127 0.455
Tm7 Tm 0.485 0.348 0.815
Tm8 Tm 0.682 0.873 0.545
# space group	P2_1/c
# raw total energy	-73.93	eV per cell


# Li4Ga4Ag3 | Alexandria via LeMat-Bulk | PBE | relaxed
data_Li4Ga4Ag3
_space_group_name_H-M_alt 'P 1'
_space_group_IT_number 1
_cell_length_a 2.880
_cell_length_b 4.439
_cell_length_c 14.905
_cell_angle_alpha 81.52
_cell_angle_beta 80.83
_cell_angle_gamma 90.00
loop_
_space_group_symop_operation_xyz
'x,y,z'
loop_
_atom_site_label
_atom_site_type_symbol
_atom_site_fract_x
_atom_site_fract_y
_atom_site_fract_z
Li1 Li 0.361 0.450 0.101
Li2 Li 0.878 0.182 0.636
Li3 Li 0.122 0.818 0.364
Li4 Li 0.638 0.550 0.899
Ag1 Ag 0.704 0.362 0.276
Ag2 Ag 0.296 0.638 0.724
Ag3 Ag 0.000 0.000 0.000
Ga1 Ga 0.223 0.090 0.820
Ga2 Ga 0.537 0.272 0.456
Ga3 Ga 0.777 0.910 0.180
Ga4 Ga 0.463 0.728 0.544
# space group	P-1
# formation energy from the elements	-0.24	eV/atom


# Zr3MoAs | Alexandria via LeMat-Bulk | PBE | relaxed
data_Zr3MoAs
_space_group_name_H-M_alt 'P 1'
_space_group_IT_number 1
_cell_length_a 4.931
_cell_length_b 4.931
_cell_length_c 4.931
_cell_angle_alpha 90.00
_cell_angle_beta 90.00
_cell_angle_gamma 90.00
loop_
_space_group_symop_operation_xyz
'x,y,z'
loop_
_atom_site_label
_atom_site_type_symbol
_atom_site_fract_x
_atom_site_fract_y
_atom_site_fract_z
Mo1 Mo 0.500 0.500 0.500
Zr1 Zr 0.500 0.000 0.000
Zr2 Zr 0.000 0.500 0.000
Zr3 Zr 0.000 0.000 0.500
As1 As 0.000 0.000 0.000
# space group	Pm-3m
# formation energy from the elements	0.47	eV/atom


Q: Which formula does entry 2 have?
A: Tm2BiH